First-principles (GGA-PBEsol) data for a relaxed BaLiHg2 crystal, as listed in Alexandria.

The structure in extended XYZ format:
```
4
Lattice="-2.557 2.557 4.100 2.557 -2.557 4.100 2.557 2.557 -4.100" Properties=species:S:1:pos:R:3 pbc="T T T"
Ba 0.000 0.000 0.000
Li 2.557 0.000 2.050
Hg 0.000 0.000 4.100
Hg 0.000 2.557 2.050
```

Values from the calculation:
For the total DFT energy (no corrections), the calculation gives -6.51 eV for the cell shown. As for the size of the total moment: 0.000 μB/f.u.

=====

First-principles (GGA-PBEsol) data for a relaxed Ba2CaHg crystal, as listed in Alexandria.

The structure in extended XYZ format:
```
4
Lattice="4.128 0.000 0.000 0.000 4.128 0.000 0.000 0.000 9.877" Properties=species:S:1:pos:R:3 pbc="T T T"
Ba 0.000 0.000 1.940
Ba 0.000 0.000 7.937
Ca 2.064 2.064 4.938
Hg 2.064 2.064 0.000
```

Values from the calculation:
As for the size of the total moment: 0.000 μB/f.u. Its distance to the lowest polymorph of the same formula is 0 meV/atom.

=====

First-principles (GGA-PBEsol) data for a relaxed LiBeSi2 crystal, as listed in Alexandria.

The structure in extended XYZ format:
```
4
Lattice="2.967 0.000 0.000 0.000 2.967 0.000 0.000 0.000 6.083" Properties=species:S:1:pos:R:3 pbc="T T T"
Li 0.000 0.000 0.000
Be 0.000 0.000 3.041
Si 1.484 1.484 1.810
Si 1.484 1.484 4.273
```

Values from the calculation:
As for the size of the total moment: 0.000 μB/f.u. The calculation puts the formation energy without anion corrections at 0.1583 eV per atom.